1.
PBE with a Hubbard U HoTl2WO8, relaxed; final energy = -75.23 eV per cell; total magnetization = 0.985 Bohr magnetons per cell; calculated volume = 174.0 Å³/cell
1.0
5.087 -0.073 -0.003
-0.053 5.085 -0.006
0.004 0.007 6.726
Ho Tl W O
1 2 1 8
Direct
0.000 0.000 0.500
0.500 0.500 0.752
0.500 0.500 0.248
0.000 0.000 0.000
0.177 0.822 0.215
0.718 0.719 0.000
0.823 0.178 0.215
0.823 0.178 0.785
0.282 0.281 0.000
0.177 0.822 0.785
0.694 0.696 0.500
0.306 0.304 0.500

***

2.
PBE with a Hubbard U HoTlW2O8, relaxed; final energy = -176.39 eV per cell; total magnetization = 0.000 Bohr magnetons per cell; calculated volume = 334.5 Å³/cell
1.0
7.671 0.033 -0.015
0.222 7.668 -0.015
3.486 3.401 5.674
Ho Tl W O
2 2 4 16
Direct
0.777 0.223 0.750
0.223 0.777 0.250
0.211 0.789 0.750
0.789 0.211 0.250
0.700 0.691 0.787
0.300 0.309 0.213
0.309 0.300 0.713
0.691 0.700 0.287
0.623 0.752 0.560
0.377 0.248 0.440
0.248 0.377 0.940
0.752 0.623 0.060
0.360 0.056 0.880
0.640 0.944 0.120
0.944 0.640 0.620
0.056 0.360 0.380
0.595 0.374 0.962
0.405 0.626 0.038
0.626 0.405 0.538
0.374 0.595 0.462
0.768 0.957 0.697
0.232 0.043 0.303
0.043 0.232 0.803
0.957 0.768 0.197

***

3.
PBE with a Hubbard U HoTl2W3O12, relaxed; final energy = -125.60 eV per cell; total magnetization = 0.906 Bohr magnetons per cell; calculated volume = 308.3 Å³/cell
1.0
-1.894 7.250 1.621
-3.430 1.853 6.601
3.672 3.969 5.435
Ho Tl W O
1 2 3 12
Direct
0.000 0.000 0.000
0.663 0.663 0.663
0.337 0.337 0.337
0.500 0.000 0.000
0.000 0.500 0.000
0.000 0.000 0.500
0.299 0.299 0.936
0.923 0.923 0.355
0.355 0.923 0.923
0.936 0.299 0.299
0.923 0.355 0.923
0.299 0.936 0.299
0.701 0.701 0.064
0.077 0.077 0.645
0.645 0.077 0.077
0.064 0.701 0.701
0.077 0.645 0.077
0.701 0.064 0.701

***

4.
PBE with a Hubbard U HoTl3W2O9, relaxed; final energy = -99.14 eV per cell; total magnetization = 0.000 Bohr magnetons per cell; calculated volume = 217.8 Å³/cell
1.0
5.882 0.000 0.000
-2.941 5.094 0.000
0.000 0.000 7.271
Ho Tl W O
1 3 2 9
Direct
0.000 0.000 0.500
0.333 0.667 0.668
0.000 0.000 0.000
0.667 0.333 0.332
0.333 0.667 0.164
0.667 0.333 0.836
0.821 0.179 0.690
0.821 0.642 0.690
0.358 0.179 0.690
0.642 0.821 0.310
0.179 0.358 0.310
0.179 0.821 0.310
0.500 0.000 0.000
0.000 0.500 0.000
0.500 0.500 0.000